(1)
# CrSb2Au

A geometry-optimized CrSb2Au structure (PBE, Alexandria via LeMat-Bulk).

Calculated values
Total magnetic moment in μB/f.u.: 3.743
Final energy in eV per atom: -5.103

Cell and atoms, written as POSCAR:
```
CrSb2Au
1.0
3.482 -0.005 0.000
0.005 3.482 0.000
0.000 0.000 7.599
Au Cr Sb
1 1 2
Direct
0.000 0.000 0.534 Au
0.500 0.500 0.723 Cr
0.000 0.000 0.923 Sb
0.500 0.500 0.320 Sb
```


(2)
# Rb2MnHOs

A geometry-optimized Rb2MnHOs structure (PBE, Alexandria via LeMat-Bulk).

Calculated values
Total magnetic moment in μB/f.u.: 2.143
Final energy in eV per atom: -3.815

Cell and atoms, written as POSCAR:
```
Rb2MnHOs
1.0
-2.363 3.881 4.799
-3.852 -2.159 -0.150
2.213 -4.264 4.538
H Mn Os Rb
1 1 1 2
Direct
0.500 0.500 0.500 H
0.000 0.000 0.000 Mn
0.000 0.500 0.000 Os
0.000 0.000 0.500 Rb
0.500 0.000 0.000 Rb
```


(3)
# Ac6PtPb3

A geometry-optimized Ac6PtPb3 structure (PBE, Alexandria via LeMat-Bulk).

Calculated values
Total magnetic moment in μB/f.u.: 0.005
Energy of formation from the pure elements in eV/atom: -0.425

Cell and atoms, written as POSCAR:
```
Ac6PtPb3
1.0
-5.978 -4.540 -3.000
-1.139 -4.568 9.184
-6.390 8.090 0.487
Ac Pt Pb
12 2 6
Direct
0.180 0.696 0.632 Ac
0.680 0.632 0.696 Ac
0.170 0.406 0.906 Ac
0.670 0.906 0.406 Ac
0.254 0.003 0.997 Ac
0.682 0.240 0.760 Ac
0.182 0.760 0.240 Ac
0.754 0.997 0.003 Ac
0.170 0.094 0.594 Ac
0.670 0.594 0.094 Ac
0.180 0.368 0.304 Ac
0.680 0.304 0.368 Ac
0.997 0.142 0.858 Pt
0.497 0.858 0.142 Pt
0.489 0.931 0.707 Pb
0.989 0.707 0.931 Pb
0.374 0.390 0.610 Pb
0.874 0.610 0.390 Pb
0.989 0.069 0.293 Pb
0.489 0.293 0.069 Pb
```


Q: What is the total magnetic moment in the first record?
A: 3.743 μB/f.u.